VASP calculation (PBE-GGA) on Pm2TiIn after structural relaxation.

The value obtained for the energy of formation from the pure elements is -65 meV/atom. For the electronic total energy, the calculation gives -5.0985 eV per atom. The space group is Fm-3m.

Cell and atoms, written as POSCAR:
```
Pm2TiIn
1.0
-2.6981 -4.6394 -0.1474
2.6118 -4.6460 0.6471
-0.6762 -2.8562 4.4956
In Ti Pm
1 1 2
direct
0.0000 0.0000 0.0000
0.5000 0.5000 0.5000
0.2500 0.2500 0.2500
0.7500 0.7500 0.7500
```

VASP calculation (PBE-GGA) on CsTlF3 after structural relaxation.

For the electronic total energy, the calculation gives -3.9047 eV per atom. The space group is P2_1/c. The value obtained for the formation energy from raw total energies is -2138 meV per atom.

Cell and atoms, written as POSCAR:
```
CsTlF3
1.0
21.3219 0.0000 -1.7929
0.0000 6.4939 0.0000
-7.5761 0.0000 3.8067
Cs Tl F
4 4 12
direct
0.4013 0.7499 0.4010
0.5987 0.2501 0.5990
0.0987 0.2499 0.0990
0.9013 0.7501 0.9010
0.1193 0.3015 0.6194
0.8807 0.6985 0.3806
0.3807 0.8015 0.8806
0.6193 0.1985 0.1194
0.2396 0.0187 0.7404
0.7604 0.9813 0.2596
0.2604 0.5187 0.7596
0.7396 0.4813 0.2404
0.3704 0.2497 0.3707
0.6296 0.7503 0.6293
0.1296 0.7497 0.1293
0.8704 0.2503 0.8707
0.5471 0.8215 0.0467
0.4529 0.1785 0.9533
0.9529 0.3215 0.4533
0.0471 0.6785 0.5467
```

VASP calculation (PBE-GGA) on Zn2InIr after structural relaxation.

The value obtained for the energy of formation from the pure elements is 39 meV/atom. For the electronic total energy, the calculation gives -3.4980 eV per atom. The space group is F-43m.

Cell and atoms, written as POSCAR:
```
Zn2InIr
1.0
-0.1253 -3.6431 2.6609
0.5710 -4.1105 -1.7736
3.7833 -2.3136 0.8379
In Ir Zn
1 1 2
direct
0.5000 0.5000 0.5000
0.7500 0.7500 0.7500
0.0000 0.0000 0.0000
0.2500 0.2500 0.2500
```

VASP calculation (PBE-GGA) on CePr2Mg after structural relaxation.

The value obtained for the energy of formation from the pure elements is 130 meV/atom. For the electronic total energy, the calculation gives -4.1423 eV per atom. The space group is Fm-3m.

Cell and atoms, written as POSCAR:
```
CePr2Mg
1.0
5.6338 0.0000 0.0000
2.8169 4.8790 0.0000
2.8169 1.6263 4.6000
Pr Mg Ce
2 1 1
direct
0.2500 0.2500 0.2500
0.7500 0.7500 0.7500
0.5000 0.5000 0.5000
0.0000 0.0000 0.0000
```

VASP calculation (PBE-GGA) on Ti7SbC2 after structural relaxation.

For the electronic total energy, the calculation gives -8.0171 eV per atom. The space group is Cmmm. The value obtained for the formation energy from raw total energies is -234 meV per atom.

Cell and atoms, written as POSCAR:
```
Ti7SbC2
1.0
-3.2971 -2.3854 -0.7916
0.5683 -2.7323 5.8667
-3.7726 5.2848 -0.2115
Ti Sb C
7 1 2
direct
0.0000 0.7241 0.2759
0.0000 0.2759 0.7241
0.5000 0.0709 0.3413
0.5000 0.9291 0.6587
0.5000 0.3413 0.0709
0.5000 0.6587 0.9291
0.5000 0.5000 0.5000
0.0000 0.0000 0.0000
0.5000 0.7055 0.2945
0.5000 0.2945 0.7055
```

VASP calculation (PBE-GGA) on Pr7Dy3Y2 after structural relaxation.

The value obtained for the energy of formation from the pure elements is 69 meV/atom. For the electronic total energy, the calculation gives -4.9470 eV per atom. The space group is P2/m.

Cell and atoms, written as POSCAR:
```
Pr7Dy3Y2
1.0
3.5907 0.0000 0.0000
0.0000 6.4884 0.8052
0.0000 2.5336 18.0916
Pr Dy Y
7 3 2
direct
0.5000 0.2354 0.5064
0.5000 0.7646 0.4936
0.0000 0.5561 0.1670
0.0000 0.0000 0.0000
0.0000 0.4439 0.8330
0.5000 0.9464 0.8278
0.5000 0.0536 0.1722
0.5000 0.5000 0.0000
0.0000 0.1159 0.3402
0.0000 0.8841 0.6598
0.5000 0.6111 0.3303
0.5000 0.3889 0.6697
```

VASP calculation (PBE-GGA) on La3Pm4Ge4 after structural relaxation.

The value obtained for the energy of formation from the pure elements is -641 meV/atom. For the electronic total energy, the calculation gives -5.3915 eV per atom. The space group is Immm.

Cell and atoms, written as POSCAR:
```
La3Pm4Ge4
1.0
-0.3137 -1.9508 -3.5871
5.9515 -5.9718 2.7272
-9.2063 -0.9336 3.6506
La Pm Ge
3 4 4
direct
0.0945 0.0945 0.1890
0.9055 0.9055 0.8110
0.0000 0.5000 0.0000
0.3281 0.1489 0.6562
0.6719 0.4928 0.3438
0.6719 0.8511 0.3438
0.3281 0.5072 0.6562
0.2695 0.7695 0.5391
0.7305 0.2305 0.4609
0.5000 0.7740 0.0000
0.5000 0.2260 0.0000
```

VASP calculation (PBE-GGA) on KCo2AuCl8 after structural relaxation.

For the electronic total energy, the calculation gives -3.4530 eV per atom. The space group is R-3. The value obtained for the formation energy from raw total energies is -673 meV per atom.

Cell and atoms, written as POSCAR:
```
KCo2AuCl8
1.0
-3.5700 -2.2821 -4.7318
-4.8182 -3.9383 1.2717
-8.5511 5.2316 -0.3346
K Co Au Cl
1 2 1 8
direct
0.5000 0.5000 0.5000
0.2528 0.2528 0.2415
0.7472 0.7472 0.7585
0.0000 0.0000 0.0000
0.1751 0.1751 0.4748
0.6042 0.2821 0.1684
0.8249 0.8249 0.5252
0.9453 0.6042 0.1684
0.0547 0.3958 0.8316
0.2821 0.9453 0.1684
0.7179 0.0547 0.8316
0.3958 0.7179 0.8316
```

VASP calculation (PBE-GGA) on Tb2YAg3Te6 after structural relaxation.

For the electronic total energy, the calculation gives -4.4459 eV per atom. The space group is C2/m. The value obtained for the formation energy from raw total energies is -852 meV per atom.

Cell and atoms, written as POSCAR:
```
Tb2YAg3Te6
1.0
4.3983 0.0000 0.0000
0.0000 8.4619 0.2381
-2.1991 -2.5636 9.6270
Tb Y Ag Te
2 1 3 6
direct
0.8266 0.6932 0.6532
0.1734 0.3068 0.3468
0.5000 0.0000 0.0000
0.5000 0.5000 0.0000
0.7943 0.2228 0.5886
0.2057 0.7772 0.4114
0.3413 0.9608 0.6826
0.6637 0.5670 0.3274
0.6587 0.0392 0.3174
0.0141 0.2623 0.0281
0.9859 0.7377 0.9719
0.3363 0.4330 0.6726
```

VASP calculation (PBE-GGA) on La5PrAl2In after structural relaxation.

The value obtained for the energy of formation from the pure elements is -169 meV/atom. For the electronic total energy, the calculation gives -4.5733 eV per atom. The space group is P4/mbm.

Cell and atoms, written as POSCAR:
```
La5PrAl2In
1.0
-7.7272 0.3123 6.5942
2.3007 -6.6609 3.0115
4.4143 3.7824 4.9937
La Pr Al In
10 2 4 2
direct
0.5000 0.5000 0.5000
0.5000 0.0000 0.0000
0.2603 0.1927 0.6927
0.2603 0.8073 0.3073
0.2603 0.3073 0.1927
0.2603 0.6927 0.8073
0.7397 0.1927 0.6927
0.7397 0.6927 0.8073
0.7397 0.8073 0.3073
0.7397 0.3073 0.1927
0.0000 0.5000 0.5000
0.0000 0.0000 0.0000
0.5000 0.6150 0.1150
0.5000 0.1150 0.3850
0.5000 0.8850 0.6150
0.5000 0.3850 0.8850
0.0000 0.0000 0.5000
0.0000 0.5000 0.0000
```

VASP calculation (PBE-GGA) on CsZrZnB2 after structural relaxation.

The value obtained for the energy of formation from the pure elements is 2891 meV/atom. For the electronic total energy, the calculation gives -1.9146 eV per atom. The space group is P4/mmm.

Cell and atoms, written as POSCAR:
```
CsZrZnB2
1.0
-1.2421 2.4210 -3.9297
0.1103 -4.6665 -2.9098
-4.6146 -0.7359 1.0053
Cs Zn B Zr
1 1 2 1
direct
0.0000 0.0000 0.0000
0.5000 0.5000 0.5000
0.0000 0.0000 0.5000
0.5000 0.0000 0.0000
0.0000 0.5000 0.0000
```

VASP calculation (PBE-GGA) on Bi4O9 after structural relaxation.

For the electronic total energy, the calculation gives -5.2740 eV per atom. The space group is P4/n. The value obtained for the formation energy from raw total energies is -647 meV per atom.

Cell and atoms, written as POSCAR:
```
Bi4O9
1.0
-1.6767 -10.0327 2.4227
9.1382 -0.3021 5.0733
-1.8911 1.1552 3.4751
Bi O
8 18
direct
0.7828 0.0875 0.5028
0.0875 0.2172 0.4972
0.5875 0.7172 0.5028
0.2828 0.5875 0.4972
0.2172 0.9125 0.5028
0.4125 0.2828 0.5028
0.7172 0.4125 0.4972
0.9125 0.7828 0.4972
0.0000 0.0000 0.5000
0.5000 0.5000 0.5000
0.9493 0.7667 0.9974
0.7333 0.4493 0.9974
0.2667 0.5507 0.9974
0.0507 0.2333 0.9974
0.5507 0.7333 0.0026
0.7667 0.0507 0.0026
0.2333 0.9493 0.0026
0.4493 0.2667 0.0026
0.2757 0.1205 0.5014
0.3795 0.7757 0.5014
0.6205 0.2243 0.5014
0.7243 0.8795 0.5014
0.7757 0.6205 0.4986
0.1205 0.7243 0.4986
0.8795 0.2757 0.4986
0.2243 0.3795 0.4986
```

VASP calculation (PBE-GGA) on TbHSe after structural relaxation.

For the electronic total energy, the calculation gives -5.2866 eV per atom. The space group is P-6m2.

Cell and atoms, written as POSCAR:
```
TbHSe
1.0
3.8571 0.0000 0.0000
-1.9286 3.3404 0.0000
0.0000 0.0000 3.9232
H Tb Se
1 1 1
direct
0.6667 0.3333 0.0000
0.0000 0.0000 0.0000
0.3333 0.6667 0.5000
```

VASP calculation (PBE-GGA) on Tc2TeMo after structural relaxation.

For the electronic total energy, the calculation gives -8.2751 eV per atom. The space group is I-4m2. The value obtained for the formation energy from raw total energies is 401 meV per atom.

Cell and atoms, written as POSCAR:
```
Tc2TeMo
1.0
-2.6817 4.3456 -0.2012
-4.1941 0.0928 2.9184
4.9108 -1.2137 0.7261
Mo Tc Te
1 2 1
direct
0.7500 0.2500 0.5000
0.0000 0.0000 0.0000
0.2500 0.7500 0.5000
0.5000 0.5000 0.0000
```

VASP calculation (PBE-GGA) on SnAu2S4 after structural relaxation.

For the electronic total energy, the calculation gives -3.4041 eV per atom. The space group is I4/mmm. The value obtained for the formation energy from raw total energies is 463 meV per atom.

Cell and atoms, written as POSCAR:
```
SnAu2S4
1.0
-2.7091 0.0809 -4.3986
-1.3782 -4.9213 0.7583
-7.1020 -0.5181 1.3303
S Au Sn
4 2 1
direct
0.2095 0.2095 0.5809
0.7905 0.7905 0.4191
0.0000 0.5000 0.0000
0.5000 0.0000 0.0000
0.3938 0.3938 0.2123
0.6062 0.6062 0.7877
0.0000 0.0000 0.0000
```

VASP calculation (PBE-GGA) on Pm2Ho6Tm3Zr after structural relaxation.

The value obtained for the energy of formation from the pure elements is 52 meV/atom. For the electronic total energy, the calculation gives -4.8590 eV per atom. The space group is C2/m.

Cell and atoms, written as POSCAR:
```
Pm2Ho6Tm3Zr
1.0
-4.9492 -2.9818 1.8452
5.3501 -1.0925 2.6408
-2.2331 9.5736 6.1735
Pm Ho Tm Zr
2 6 3 1
direct
0.3332 0.6668 0.0000
0.6668 0.3332 0.0000
0.9169 0.5901 0.7516
0.7565 0.7565 0.2480
0.0831 0.4099 0.2484
0.5901 0.9169 0.7516
0.2435 0.2435 0.7520
0.4099 0.0831 0.2484
0.1664 0.8336 0.5000
0.8336 0.1664 0.5000
0.5000 0.5000 0.5000
0.0000 0.0000 0.0000
```

VASP calculation (PBE-GGA) on LiTb8Sn6 after structural relaxation.

The value obtained for the energy of formation from the pure elements is -532 meV/atom. For the electronic total energy, the calculation gives -4.7300 eV per atom. The space group is R-3.

Cell and atoms, written as POSCAR:
```
LiTb8Sn6
1.0
9.1489 0.0000 0.0000
4.5745 7.9232 0.0000
4.5745 2.6411 6.3523
Li Tb Sn
1 8 6
direct
0.0000 0.0000 0.0000
0.5919 0.2138 0.2976
0.7862 0.1033 0.7024
0.1033 0.4081 0.7024
0.6674 0.6674 0.9978
0.3326 0.3326 0.0022
0.8967 0.5919 0.2976
0.2138 0.8967 0.2976
0.4081 0.7862 0.7024
0.4193 0.0681 0.7875
0.9319 0.2749 0.2125
0.2749 0.5807 0.2125
0.7251 0.4193 0.7875
0.0681 0.7251 0.7875
0.5807 0.9319 0.2125
```

VASP calculation (PBE-GGA) on ScAgSb2I after structural relaxation.

For the electronic total energy, the calculation gives -3.5876 eV per atom. The space group is P4/mmm. The value obtained for the formation energy from raw total energies is 208 meV per atom.

Cell and atoms, written as POSCAR:
```
ScAgSb2I
1.0
5.5454 0.0000 0.0000
0.0000 5.5454 0.0000
0.0000 0.0000 5.6415
I Sb Sc Ag
1 2 1 1
direct
0.0000 0.0000 0.5000
0.0000 0.5000 0.0000
0.5000 0.0000 0.0000
0.0000 0.0000 0.0000
0.5000 0.5000 0.5000
```

VASP calculation (PBE-GGA) on GaBr3N after structural relaxation.

For the electronic total energy, the calculation gives -2.6085 eV per atom. The space group is Pm-3m. The value obtained for the formation energy from raw total energies is 666 meV per atom.

Cell and atoms, written as POSCAR:
```
GaBr3N
1.0
4.8124 0.0000 0.0000
0.0000 4.8124 0.0000
0.0000 0.0000 4.8124
Ga Br N
1 3 1
direct
0.5000 0.5000 0.5000
0.0000 0.5000 0.0000
0.0000 0.0000 0.5000
0.5000 0.0000 0.0000
0.0000 0.0000 0.0000
```

VASP calculation (PBE-GGA) on AcTm2Zr after structural relaxation.

The value obtained for the energy of formation from the pure elements is 160 meV/atom. For the electronic total energy, the calculation gives -5.2401 eV per atom. The space group is P4/mmm.

Cell and atoms, written as POSCAR:
```
AcTm2Zr
1.0
-0.5186 1.5408 4.7378
-4.1244 -2.6982 0.4260
2.6832 -3.8570 1.5481
Ac Tm Zr
1 2 1
direct
0.5000 0.5000 0.5000
0.0000 0.0000 0.5000
0.0000 0.5000 0.0000
0.5000 0.0000 0.0000
```

VASP calculation (PBE-GGA) on CeGeHRh2 after structural relaxation.

For the electronic total energy, the calculation gives -6.4512 eV per atom. The space group is Cmcm.

Cell and atoms, written as POSCAR:
```
CeGeHRh2
1.0
3.9890 0.0000 0.0000
-1.9945 5.4724 0.0000
0.0000 0.0000 7.0478
Ce Ge H Rh
2 2 2 4
direct
0.4257 0.8514 0.7500
0.5743 0.1486 0.2500
0.7079 0.4157 0.7500
0.2921 0.5843 0.2500
0.0000 0.0000 0.0000
0.0000 0.0000 0.5000
0.1571 0.3142 0.9552
0.8429 0.6858 0.0448
0.1571 0.3142 0.5448
0.8429 0.6858 0.4552
```

VASP calculation (PBE-GGA) on Be2CrCoNi after structural relaxation.

The value obtained for the energy of formation from the pure elements is 966 meV/atom. For the electronic total energy, the calculation gives -5.0271 eV per atom. The space group is P4/mmm.

Cell and atoms, written as POSCAR:
```
Be2CrCoNi
1.0
-3.1311 -2.1448 -0.6023
1.0459 -0.3946 -4.0320
2.0100 -3.1678 0.8314
Ni Co Be Cr
1 1 2 1
direct
0.0000 0.5000 0.0000
0.0000 0.0000 0.0000
0.0000 0.0000 0.5000
0.5000 0.0000 0.0000
0.5000 0.5000 0.5000
```

VASP calculation (PBE-GGA) on FeCu2W after structural relaxation.

The value obtained for the energy of formation from the pure elements is 290 meV/atom. For the electronic total energy, the calculation gives -7.1121 eV per atom. The space group is I4/mmm.

Cell and atoms, written as POSCAR:
```
FeCu2W
1.0
-3.8741 -1.7884 -2.0828
-3.2543 -1.9514 2.8542
2.4312 4.0752 -0.1643
Cu Fe W
2 1 1
direct
0.0001 0.0001 0.0000
0.4999 0.4999 0.0000
0.7500 0.2500 0.5000
0.2500 0.7500 0.5000
```